Compound: NaSn2Pt2
Source: Alexandria
Functional: GGA-PBE
Structure: relaxed Values from VASP.

Computed properties:
The calculation puts the energy relative to the elements at -347 meV/atom. The density of states at the Fermi level is 4.2 states/eV per cell. The raw total energy is -4.63 eV per atom. For the energy above the lowest structure with this stoichiometry, the calculation gives 140 meV per atom.

The structure in Quantum ESPRESSO input format:
```
&SYSTEM
  ibrav = 0, nat = 10, ntyp = 3
/
ATOMIC_SPECIES
Na 22.99 Na.upf
Sn 118.71 Sn.upf
Pt 195.08 Pt.upf
ATOMIC_POSITIONS crystal
Na 0.000 0.000 0.000
Na 0.500 0.500 0.000
Sn 0.145 0.355 0.000
Sn 0.355 0.855 0.000
Sn 0.645 0.145 0.000
Sn 0.855 0.645 0.000
Pt 0.150 0.650 0.500
Pt 0.350 0.150 0.500
Pt 0.650 0.850 0.500
Pt 0.850 0.350 0.500
CELL_PARAMETERS angstrom
8.102 0.000 0.000
0.000 8.102 0.000
0.000 0.000 3.124
```